No. 1
The following is a GGA-PBEsol calculation of a relaxed Sr2LaHf crystal, from Alexandria via LeMat-Bulk.

abc: 5.8396 5.8396 5.8396
angles: 60.00 60.00 60.00
Sites, in units of the cell vectors:
Sr 0.2500 0.2500 0.2500
Sr 0.7500 0.7500 0.7500
La 0.0000 0.0000 0.0000
Hf 0.5000 0.5000 0.5000

Values from the calculation:
Total magnetization (μB/atom): 0.00
Uncorrected energy (eV per atom): -4.2152
Space-group type: Fm-3m, No. 225


No. 2
The following is a GGA-PBEsol calculation of a relaxed LaTe2As crystal, from Alexandria via LeMat-Bulk.

abc: 4.4889 4.4894 6.4406
angles: 109.81 109.81 91.64
Sites, in units of the cell vectors:
La 0.5000 0.5000 0.0000
Te 0.0000 0.5000 0.5000
Te 0.5000 0.0000 0.5000
As 0.0000 0.0000 0.0000

Values from the calculation:
Total magnetization (μB/atom): 0.00
Uncorrected energy (eV per atom): -5.0854
Uncorrected formation energy (meV/atom): -709.2
Space-group type: Fmmm, No. 69